# 1
Computed, not measured: a relaxed structure of NiBN2F at the PBE+U level of DFT.

Cell: 3.7394 3.7394 4.0377 Å, 90.00 90.00 90.00°
Closest atoms and distances in Å follow each position.
Sites, in units of the cell vectors:
B: 0.5000 0.5000 0.5000  4 F 2.64, 8 N 2.75
N: 0.5000 0.0000 0.0000  2 Ni 1.87
N: 0.0000 0.5000 0.0000  2 Ni 1.87
F: 0.0000 0.0000 0.5000  2 Ni 2.02
Ni: 0.0000 0.0000 0.0000  4 N 1.87, 2 F 2.02

Total DFT energy (no corrections) = -3.843 eV per atom
Crystal system = tetragonal
Space-group type = P4/mmm (123)
Distance to the lowest polymorph of the same formula = 1.308 eV per atom



# 2
Computed, not measured: a relaxed structure of NiBN2F at the PBE+U level of DFT.

Cell: 3.0451 3.0451 5.2296 Å, 90.00 90.00 90.00°
Closest atoms and distances in Å follow each position.
Sites, in units of the cell vectors:
F: 0.0000 0.0000 0.5000  4 Ni 2.15
N: 0.0000 0.5000 0.0000  2 B 1.52
N: 0.5000 0.0000 0.0000  2 B 1.52
B: 0.0000 0.0000 0.0000  4 N 1.52
Ni: 0.5000 0.5000 0.5000  4 F 2.15

Total DFT energy (no corrections) = -5.151 eV per atom
Crystal system = tetragonal
Space-group type = P4/mmm (123)
Distance to the lowest polymorph of the same formula = 0.000 eV per atom